Entry 1:
{
  "formula": "Ac3Te12Pt5",
  "functional": "PBE-GGA",
  "state": "optimized geometry",
  "dos_ef_per_ev_cell": 64.7,
  "e_form_raw_kj_per_mol_fu": -1182,
  "lattice": [[-0.118, -14.719, -2.822], [0.912, 2.244, 14.790], [-12.610, 6.189, -5.224]],
  "species": ["Te", "Te", "Te", "Te", "Te", "Te", "Te", "Te", "Te", "Te", "Te", "Te", "Te", "Te", "Te", "Te", "Te", "Te", "Te", "Te", "Te", "Te", "Te", "Te", "Te", "Te", "Te", "Te", "Te", "Te", "Te", "Te", "Te", "Te", "Te", "Te", "Te", "Te", "Te", "Te", "Te", "Te", "Te", "Te", "Te", "Te", "Te", "Te", "Pt", "Pt", "Pt", "Pt", "Pt", "Pt", "Pt", "Pt", "Pt", "Pt", "Pt", "Pt", "Pt", "Pt", "Pt", "Pt", "Pt", "Pt", "Pt", "Pt", "Ac", "Ac", "Ac", "Ac", "Ac", "Ac", "Ac", "Ac", "Ac", "Ac", "Ac", "Ac"],
  "frac_coords": [[0.824, 0.913, 0.300], [0.911, 0.824, 0.525], [0.411, 0.387, 0.587], [0.176, 0.087, 0.700], [0.824, 0.911, 0.025], [0.700, 0.587, 0.176], [0.589, 0.975, 0.676], [0.200, 0.676, 0.087], [0.887, 0.300, 0.475], [0.975, 0.589, 0.176], [0.387, 0.411, 0.087], [0.413, 0.300, 0.324], [0.200, 0.525, 0.613], [0.913, 0.824, 0.800], [0.089, 0.176, 0.475], [0.587, 0.887, 0.411], [0.676, 0.200, 0.587], [0.613, 0.589, 0.913], [0.176, 0.089, 0.975], [0.975, 0.387, 0.300], [0.087, 0.176, 0.200], [0.587, 0.700, 0.676], [0.025, 0.613, 0.700], [0.411, 0.025, 0.324], [0.113, 0.700, 0.525], [0.300, 0.887, 0.975], [0.800, 0.324, 0.913], [0.911, 0.087, 0.887], [0.589, 0.613, 0.413], [0.025, 0.411, 0.824], [0.525, 0.200, 0.113], [0.089, 0.913, 0.113], [0.387, 0.975, 0.800], [0.475, 0.676, 0.089], [0.887, 0.587, 0.911], [0.700, 0.113, 0.025], [0.087, 0.911, 0.387], [0.324, 0.800, 0.413], [0.475, 0.800, 0.887], [0.413, 0.113, 0.589], [0.913, 0.089, 0.613], [0.613, 0.025, 0.200], [0.525, 0.324, 0.911], [0.113, 0.413, 0.089], [0.800, 0.475, 0.387], [0.676, 0.475, 0.589], [0.300, 0.413, 0.824], [0.324, 0.525, 0.411], [0.750, 0.625, 0.375], [0.625, 0.875, 0.250], [0.375, 0.125, 0.750], [0.000, 0.500, 0.000], [0.375, 0.250, 0.125], [0.625, 0.750, 0.875], [0.125, 0.375, 0.250], [0.875, 0.250, 0.625], [0.750, 0.125, 0.875], [0.000, 0.000, 0.500], [0.000, 0.500, 0.500], [0.500, 0.500, 0.500], [0.875, 0.625, 0.750], [0.000, 0.000, 0.000], [0.125, 0.750, 0.375], [0.500, 0.500, 0.000], [0.250, 0.875, 0.125], [0.500, 0.000, 0.000], [0.500, 0.000, 0.500], [0.250, 0.375, 0.625], [0.375, 0.625, 0.250], [0.625, 0.250, 0.375], [0.125, 0.250, 0.875], [0.625, 0.375, 0.750], [0.750, 0.875, 0.625], [0.750, 0.375, 0.125], [0.125, 0.875, 0.750], [0.250, 0.625, 0.875], [0.250, 0.125, 0.375], [0.375, 0.750, 0.625], [0.875, 0.125, 0.250], [0.875, 0.750, 0.125]]
}

---

Entry 2:
{
  "formula": "LiAs2BrF",
  "functional": "PBE-GGA",
  "state": "optimized geometry",
  "polymorph_energy_ev_per_atom": 0.000,
  "dos_ef_per_ev_cell": 3.3,
  "e_form_raw_kj_per_mol_fu": -102,
  "lattice": [[-1.310, 3.940, 1.007], [-3.876, -1.529, 0.944], [1.933, -0.980, 6.348]],
  "species": ["As", "As", "Br", "Li", "F"],
  "frac_coords": [[0.500, 0.000, 0.000], [0.000, 0.500, 0.000], [0.000, 0.000, 0.500], [0.500, 0.500, 0.500], [0.000, 0.000, 0.000]]
}

---

Entry 3:
{
  "formula": "Cs2CaSiBr6",
  "functional": "PBE-GGA",
  "state": "optimized geometry",
  "dos_ef_per_ev_cell": 0.0,
  "e_form_raw_kj_per_mol_fu": -1381,
  "lattice": [[8.005, 0.000, 0.000], [0.000, 8.005, 0.000], [4.003, 4.003, 5.661]],
  "species": ["Br", "Br", "Br", "Br", "Br", "Br", "Ca", "Cs", "Cs", "Si"],
  "frac_coords": [[0.256, 0.256, 0.488], [0.256, 0.256, 0.000], [0.744, 0.744, 0.512], [0.744, 0.256, 0.000], [0.744, 0.744, 0.000], [0.256, 0.744, 0.000], [0.000, 0.000, 0.000], [0.250, 0.750, 0.500], [0.750, 0.250, 0.500], [0.500, 0.500, 0.000]]
}

---

Entry 4:
{
  "formula": "MgInHgGe",
  "functional": "PBE-GGA",
  "state": "optimized geometry",
  "formation_enthalpy_0k_kj_per_mol_fu": 20,
  "dos_ef_per_ev_cell": 2.2,
  "lattice": [[5.064, 0.000, 0.000], [2.532, 4.386, 0.000], [2.532, 1.462, 4.135]],
  "species": ["Mg", "Hg", "In", "Ge"],
  "frac_coords": [[0.500, 0.500, 0.500], [0.750, 0.750, 0.750], [0.000, 0.000, 0.000], [0.250, 0.250, 0.250]]
}

---

Entry 5:
{
  "formula": "Fe2AgCl",
  "functional": "PBE-GGA",
  "state": "optimized geometry",
  "polymorph_energy_ev_per_atom": 0.054,
  "dos_ef_per_ev_cell": 3.1,
  "e_form_raw_kj_per_mol_fu": 82,
  "lattice": [[2.914, 0.004, 0.000], [-1.184, 2.662, 0.000], [0.000, 0.000, 8.326]],
  "species": ["Ag", "Fe", "Fe", "Cl"],
  "frac_coords": [[0.000, 0.000, 0.480], [0.000, 0.000, 0.007], [0.500, 0.500, 0.220], [0.500, 0.500, 0.792]]
}

---

Entry 6:
{
  "formula": "Pu3In2Hg4",
  "functional": "PBE-GGA",
  "state": "optimized geometry",
  "formation_enthalpy_0k_kj_per_mol_fu": -161,
  "dos_ef_per_ev_cell": 27.2,
  "lattice": [[5.168, 0.000, 0.000], [-2.584, 5.390, -0.959], [0.000, -4.003, 8.605]],
  "species": ["Hg", "Hg", "Hg", "Hg", "In", "In", "Pu", "Pu", "Pu"],
  "frac_coords": [[0.059, 0.117, 0.392], [0.281, 0.562, 0.948], [0.941, 0.883, 0.608], [0.719, 0.438, 0.052], [0.611, 0.222, 0.278], [0.389, 0.778, 0.722], [0.334, 0.667, 0.332], [0.666, 0.333, 0.668], [0.000, 0.000, 0.000]]
}

---

Entry 7:
{
  "formula": "PrGdP2",
  "functional": "PBE-GGA",
  "state": "optimized geometry",
  "formation_enthalpy_0k_kj_per_mol_fu": -598,
  "dos_ef_per_ev_cell": 0.4,
  "lattice": [[-4.098, 0.008, -0.531], [-2.425, -2.104, 2.603], [-2.674, 4.747, 4.626]],
  "species": ["P", "P", "Gd", "Pr"],
  "frac_coords": [[0.747, 0.747, 0.760], [0.253, 0.253, 0.240], [0.000, 0.000, 0.000], [0.500, 0.500, 0.500]]
}